[1]
{
  "formula": "LiCeDy",
  "functional": "PBE",
  "state": "relaxed",
  "n_ef_per_ev_fu": 5.26,
  "spacegroup": "P3m1",
  "magnetic_moment_mub_per_fu": 0.7,
  "density_kg_m3": 6156,
  "dft_energy_ev_per_atom": -3.9939,
  "lattice": [[3.385, 0.000, 0.000], [-1.693, 2.932, 0.000], [0.000, 0.000, 8.413]],
  "species": ["Li", "Ce", "Dy"],
  "frac_coords": [[0.000, 0.000, 0.000], [0.333, 0.667, 0.666], [0.667, 0.333, 0.328]]
}

=====

[2]
{
  "formula": "LiCeDyOs",
  "functional": "PBE",
  "state": "relaxed",
  "n_ef_per_ev_fu": 6.35,
  "spacegroup": "F-43m",
  "magnetic_moment_mub_per_fu": 0.4,
  "density_kg_m3": 9774,
  "dft_energy_ev_per_atom": -6.0615,
  "lattice": [[6.977, 0.000, 0.000], [0.000, 6.977, 0.000], [0.000, 0.000, 6.977]],
  "species": ["Li", "Li", "Li", "Li", "Ce", "Ce", "Ce", "Ce", "Dy", "Dy", "Dy", "Dy", "Os", "Os", "Os", "Os"],
  "frac_coords": [[0.000, 0.000, 0.000], [0.000, 0.500, 0.500], [0.500, 0.000, 0.500], [0.500, 0.500, 0.000], [0.250, 0.250, 0.250], [0.250, 0.750, 0.750], [0.750, 0.250, 0.750], [0.750, 0.750, 0.250], [0.250, 0.250, 0.750], [0.250, 0.750, 0.250], [0.750, 0.250, 0.250], [0.750, 0.750, 0.750], [0.000, 0.000, 0.500], [0.000, 0.500, 0.000], [0.500, 0.000, 0.000], [0.500, 0.500, 0.500]]
}

=====

[3]
{
  "formula": "LiCeDyPb",
  "functional": "PBE",
  "state": "relaxed",
  "n_ef_per_ev_fu": 11.19,
  "spacegroup": "F-43m",
  "magnetic_moment_mub_per_fu": 1.5,
  "density_kg_m3": 7811,
  "dft_energy_ev_per_atom": -4.2194,
  "lattice": [[7.603, 0.000, 0.000], [0.000, 7.603, 0.000], [0.000, 0.000, 7.603]],
  "species": ["Li", "Li", "Li", "Li", "Ce", "Ce", "Ce", "Ce", "Dy", "Dy", "Dy", "Dy", "Pb", "Pb", "Pb", "Pb"],
  "frac_coords": [[0.000, 0.000, 0.000], [0.000, 0.500, 0.500], [0.500, 0.000, 0.500], [0.500, 0.500, 0.000], [0.250, 0.250, 0.250], [0.250, 0.750, 0.750], [0.750, 0.250, 0.750], [0.750, 0.750, 0.250], [0.250, 0.250, 0.750], [0.250, 0.750, 0.250], [0.750, 0.250, 0.250], [0.750, 0.750, 0.750], [0.000, 0.000, 0.500], [0.000, 0.500, 0.000], [0.500, 0.000, 0.000], [0.500, 0.500, 0.500]]
}

=====

[4]
{
  "formula": "LiCeDyPd",
  "functional": "PBE",
  "state": "relaxed",
  "n_ef_per_ev_fu": 8.50,
  "spacegroup": "F-43m",
  "magnetic_moment_mub_per_fu": 0.9,
  "density_kg_m3": 7474,
  "dft_energy_ev_per_atom": -4.6774,
  "lattice": [[7.177, 0.000, 0.000], [0.000, 7.177, 0.000], [0.000, 0.000, 7.177]],
  "species": ["Li", "Li", "Li", "Li", "Ce", "Ce", "Ce", "Ce", "Dy", "Dy", "Dy", "Dy", "Pd", "Pd", "Pd", "Pd"],
  "frac_coords": [[0.000, 0.000, 0.000], [0.000, 0.500, 0.500], [0.500, 0.000, 0.500], [0.500, 0.500, 0.000], [0.250, 0.250, 0.250], [0.250, 0.750, 0.750], [0.750, 0.250, 0.750], [0.750, 0.750, 0.250], [0.250, 0.250, 0.750], [0.250, 0.750, 0.250], [0.750, 0.250, 0.250], [0.750, 0.750, 0.750], [0.000, 0.000, 0.500], [0.000, 0.500, 0.000], [0.500, 0.000, 0.000], [0.500, 0.500, 0.500]]
}

=====

Question: Number 1 is which compound?
Answer: LiCeDy

=====

Copy entry 2 word for word.
{
  "formula": "LiCeDyOs",
  "functional": "PBE",
  "state": "relaxed",
  "n_ef_per_ev_fu": 6.35,
  "spacegroup": "F-43m",
  "magnetic_moment_mub_per_fu": 0.4,
  "density_kg_m3": 9774,
  "dft_energy_ev_per_atom": -6.0615,
  "lattice": [[6.977, 0.000, 0.000], [0.000, 6.977, 0.000], [0.000, 0.000, 6.977]],
  "species": ["Li", "Li", "Li", "Li", "Ce", "Ce", "Ce", "Ce", "Dy", "Dy", "Dy", "Dy", "Os", "Os", "Os", "Os"],
  "frac_coords": [[0.000, 0.000, 0.000], [0.000, 0.500, 0.500], [0.500, 0.000, 0.500], [0.500, 0.500, 0.000], [0.250, 0.250, 0.250], [0.250, 0.750, 0.750], [0.750, 0.250, 0.750], [0.750, 0.750, 0.250], [0.250, 0.250, 0.750], [0.250, 0.750, 0.250], [0.750, 0.250, 0.250], [0.750, 0.750, 0.750], [0.000, 0.000, 0.500], [0.000, 0.500, 0.000], [0.500, 0.000, 0.000], [0.500, 0.500, 0.500]]
}